This record from the Open Quantum Materials Database describes a geometry-optimized Al2NiW structure. The functional is GGA-PBE.

Cell: 4.3093 4.3093 4.3093 Å, 60.00 60.00 60.00°
Fractional positions:
Al  0.0000  0.0000  0.0000
Al  0.2500  0.2500  0.2500
Ni  0.5000  0.5000  0.5000
W  0.7500  0.7500  0.7500

Output
V, Å³ per atom: 14.146
Spin magnetization, μB/f.u.: 1.5
SG: F-43m (216)
Energy, eV/atom: -6.38

This record from the Open Quantum Materials Database describes a geometry-optimized AlNiW2 structure. The functional is GGA-PBE.

Cell: 4.3452 4.3452 4.3452 Å, 60.00 60.00 60.00°
Fractional positions:
Al  0.5000  0.5000  0.5000
Ni  0.2500  0.2500  0.2500
W  0.0000  0.0000  0.0000
W  0.7500  0.7500  0.7500

Output
V, Å³ per atom: 14.503
Spin magnetization, μB/f.u.: 0.0
SG: F-43m (216)
Energy, eV/atom: -8.74

This record from the Open Quantum Materials Database describes a geometry-optimized Y10Al3Ni structure. The functional is GGA-PBE.

Cell: 9.5651 9.5651 9.5692 Å, 90.00 90.00 120.00°
Fractional positions:
Al  0.2257  0.1129  0.2500
Al  0.8871  0.1129  0.2500
Al  0.8871  0.7743  0.2500
Al  0.1129  0.2257  0.7500
Al  0.1129  0.8871  0.7500
Al  0.7743  0.8871  0.7500
Ni  0.3333  0.6667  0.2500
Ni  0.6667  0.3333  0.7500
Y  0.0000  0.0000  0.0000
Y  0.2077  0.4153  0.0617
Y  0.2077  0.7923  0.0617
Y  0.5847  0.7923  0.0617
Y  0.5437  0.0873  0.2500
Y  0.5437  0.4563  0.2500
Y  0.9127  0.4563  0.2500
Y  0.2077  0.4153  0.4383
Y  0.2077  0.7923  0.4383
Y  0.5847  0.7923  0.4383
Y  0.0000  0.0000  0.5000
Y  0.4153  0.2077  0.5617
Y  0.7923  0.2077  0.5617
Y  0.7923  0.5847  0.5617
Y  0.0873  0.5437  0.7500
Y  0.4563  0.5437  0.7500
Y  0.4563  0.9127  0.7500
Y  0.4153  0.2077  0.9383
Y  0.7923  0.2077  0.9383
Y  0.7923  0.5847  0.9383

Output
V, Å³ per atom: 27.079
Spin magnetization, μB/f.u.: 0.0
SG: P6_3/mmc (194)
Energy, eV/atom: -6.10

This record from the Open Quantum Materials Database describes a geometry-optimized Y3Al5Ni structure. The functional is GGA-PBE.

Cell: 6.9632 6.9632 4.2972 Å, 90.00 90.00 120.00°
Fractional positions:
Al  0.2296  0.0000  0.5000
Al  0.0000  0.2296  0.5000
Al  0.6667  0.3333  0.5000
Al  0.3333  0.6667  0.5000
Al  0.7704  0.7704  0.5000
Ni  0.0000  0.0000  0.0000
Y  0.5951  0.0000  0.0000
Y  0.4049  0.4049  0.0000
Y  0.0000  0.5951  0.0000

Output
V, Å³ per atom: 20.049
Spin magnetization, μB/f.u.: 0.0
SG: P-62m (189)
Energy, eV/atom: -5.42